*w*
# SmHo3Tm2 (PBE-GGA, optimized geometry)
data_SmHo3Tm2
_chemical_formula_sum 'Sm2 Ho6 Tm4'
_cell_length_a 9.335
_cell_length_b 9.335
_cell_length_c 6.105
_cell_angle_alpha 90.08
_cell_angle_beta 90.08
_cell_angle_gamma 44.41
_symmetry_space_group_name_H-M 'P 1'
_symmetry_Int_Tables_number 1
loop_
_symmetry_equiv_pos_as_xyz
'x,y,z'
loop_
_atom_site_label
_atom_site_type_symbol
_atom_site_fract_x
_atom_site_fract_y
_atom_site_fract_z
Sm1 Sm 0.125 0.875 0.750
Sm2 Sm 0.875 0.125 0.250
Ho1 Ho 0.042 0.293 0.916
Ho2 Ho 0.293 0.042 0.416
Ho3 Ho 0.376 0.624 0.250
Ho4 Ho 0.624 0.376 0.750
Ho5 Ho 0.707 0.958 0.584
Ho6 Ho 0.958 0.707 0.084
Tm1 Tm 0.208 0.457 0.583
Tm2 Tm 0.457 0.208 0.083
Tm3 Tm 0.543 0.792 0.917
Tm4 Tm 0.792 0.543 0.417
# Total magnetization ... 0.00 μB per formula unit
# Calculated volume ... 372 Å³ per cell

*x*
# SmHo3Tm2 (PBE-GGA, optimized geometry)
data_SmHo3Tm2
_chemical_formula_sum 'Sm2 Ho6 Tm4'
_cell_length_a 7.108
_cell_length_b 7.113
_cell_length_c 8.755
_cell_angle_alpha 78.25
_cell_angle_beta 78.29
_cell_angle_gamma 60.04
_symmetry_space_group_name_H-M 'P 1'
_symmetry_Int_Tables_number 1
loop_
_symmetry_equiv_pos_as_xyz
'x,y,z'
loop_
_atom_site_label
_atom_site_type_symbol
_atom_site_fract_x
_atom_site_fract_y
_atom_site_fract_z
Sm1 Sm 0.250 0.250 0.001
Sm2 Sm 0.750 0.750 0.999
Ho1 Ho 0.139 0.139 0.665
Ho2 Ho 0.250 0.750 0.999
Ho3 Ho 0.361 0.860 0.336
Ho4 Ho 0.639 0.140 0.664
Ho5 Ho 0.750 0.250 0.001
Ho6 Ho 0.861 0.861 0.335
Tm1 Tm 0.140 0.639 0.664
Tm2 Tm 0.361 0.362 0.335
Tm3 Tm 0.639 0.638 0.665
Tm4 Tm 0.860 0.361 0.336
# Total magnetization ... 0.00 μB per formula unit
# Calculated volume ... 373 Å³ per cell

Name the least stable of them. *w*.

*w*
# Sm2Ho3Tm3 (PBE-GGA, optimized geometry)
data_Sm2Ho3Tm3
_chemical_formula_sum 'Sm2 Ho3 Tm3'
_cell_length_a 10.593
_cell_length_b 10.593
_cell_length_c 10.593
_cell_angle_alpha 152.68
_cell_angle_beta 152.67
_cell_angle_gamma 39.03
_symmetry_space_group_name_H-M 'P 1'
_symmetry_Int_Tables_number 1
loop_
_symmetry_equiv_pos_as_xyz
'x,y,z'
loop_
_atom_site_label
_atom_site_type_symbol
_atom_site_fract_x
_atom_site_fract_y
_atom_site_fract_z
Sm1 Sm 0.250 0.250 0.000
Sm2 Sm 0.750 0.750 0.000
Ho1 Ho 0.000 0.000 0.000
Ho2 Ho 0.377 0.877 0.500
Ho3 Ho 0.623 0.123 0.500
Tm1 Tm 0.123 0.623 0.500
Tm2 Tm 0.500 0.500 0.000
Tm3 Tm 0.877 0.377 0.500
# Total magnetization ... 0.00 μB per formula unit
# Calculated volume ... 250 Å³ per cell

*x*
# Sm2Ho3Tm3 (PBE-GGA, optimized geometry)
data_Sm2Ho3Tm3
_chemical_formula_sum 'Sm2 Ho3 Tm3'
_cell_length_a 6.379
_cell_length_b 6.379
_cell_length_c 6.379
_cell_angle_alpha 85.15
_cell_angle_beta 85.15
_cell_angle_gamma 85.15
_symmetry_space_group_name_H-M 'P 1'
_symmetry_Int_Tables_number 1
loop_
_symmetry_equiv_pos_as_xyz
'x,y,z'
loop_
_atom_site_label
_atom_site_type_symbol
_atom_site_fract_x
_atom_site_fract_y
_atom_site_fract_z
Sm1 Sm 0.239 0.239 0.239
Sm2 Sm 0.761 0.761 0.761
Ho1 Ho 0.000 0.765 0.235
Ho2 Ho 0.235 0.000 0.765
Ho3 Ho 0.765 0.235 0.000
Tm1 Tm 0.267 0.500 0.733
Tm2 Tm 0.500 0.733 0.267
Tm3 Tm 0.733 0.267 0.500
# Total magnetization ... 0.00 μB per formula unit
# Calculated volume ... 257 Å³ per cell

Name the least stable of them. *x*.

*w*
# Sm7Ho2Tm2 (PBE-GGA, optimized geometry)
data_Sm7Ho2Tm2
_chemical_formula_sum 'Sm7 Ho2 Tm2'
_cell_length_a 6.843
_cell_length_b 6.843
_cell_length_c 9.603
_cell_angle_alpha 90.00
_cell_angle_beta 90.00
_cell_angle_gamma 122.30
_symmetry_space_group_name_H-M 'P 1'
_symmetry_Int_Tables_number 1
loop_
_symmetry_equiv_pos_as_xyz
'x,y,z'
loop_
_atom_site_label
_atom_site_type_symbol
_atom_site_fract_x
_atom_site_fract_y
_atom_site_fract_z
Sm1 Sm 0.000 0.000 0.000
Sm2 Sm 0.000 0.500 0.314
Sm3 Sm 0.000 0.500 0.686
Sm4 Sm 0.500 0.000 0.314
Sm5 Sm 0.500 0.000 0.686
Sm6 Sm 0.500 0.500 0.184
Sm7 Sm 0.500 0.500 0.816
Ho1 Ho 0.250 0.250 0.500
Ho2 Ho 0.750 0.750 0.500
Tm1 Tm 0.271 0.729 0.000
Tm2 Tm 0.729 0.271 0.000
# Total magnetization ... 0.00 μB per formula unit
# Calculated volume ... 380 Å³ per cell

*x*
# Sm7Ho2Tm2 (PBE-GGA, optimized geometry)
data_Sm7Ho2Tm2
_chemical_formula_sum 'Sm7 Ho2 Tm2'
_cell_length_a 9.392
_cell_length_b 9.392
_cell_length_c 9.392
_cell_angle_alpha 145.34
_cell_angle_beta 63.53
_cell_angle_gamma 128.55
_symmetry_space_group_name_H-M 'P 1'
_symmetry_Int_Tables_number 1
loop_
_symmetry_equiv_pos_as_xyz
'x,y,z'
loop_
_atom_site_label
_atom_site_type_symbol
_atom_site_fract_x
_atom_site_fract_y
_atom_site_fract_z
Sm1 Sm 0.000 0.000 0.000
Sm2 Sm 0.133 0.297 0.837
Sm3 Sm 0.137 0.502 0.635
Sm4 Sm 0.460 0.093 0.367
Sm5 Sm 0.460 0.297 0.163
Sm6 Sm 0.727 0.093 0.633
Sm7 Sm 0.866 0.502 0.365
Ho1 Ho 0.596 0.797 0.799
Ho2 Ho 0.999 0.797 0.201
Tm1 Tm 0.298 0.798 0.500
Tm2 Tm 0.585 0.585 0.000
# Total magnetization ... 0.00 μB per formula unit
# Calculated volume ... 364 Å³ per cell

Name the least stable of them. *w*.

*w*
# SmHo2Tm9 (PBE-GGA, optimized geometry)
data_SmHo2Tm9
_chemical_formula_sum 'Sm1 Ho2 Tm9'
_cell_length_a 11.071
_cell_length_b 11.071
_cell_length_c 3.474
_cell_angle_alpha 90.00
_cell_angle_beta 90.00
_cell_angle_gamma 120.00
_symmetry_space_group_name_H-M 'P 1'
_symmetry_Int_Tables_number 1
loop_
_symmetry_equiv_pos_as_xyz
'x,y,z'
loop_
_atom_site_label
_atom_site_type_symbol
_atom_site_fract_x
_atom_site_fract_y
_atom_site_fract_z
Sm1 Sm 0.000 0.000 0.000
Ho1 Ho 0.333 0.667 0.000
Ho2 Ho 0.667 0.333 0.000
Tm1 Tm 0.000 0.500 0.000
Tm2 Tm 0.178 0.356 0.500
Tm3 Tm 0.178 0.822 0.500
Tm4 Tm 0.356 0.178 0.500
Tm5 Tm 0.500 0.000 0.000
Tm6 Tm 0.500 0.500 0.000
Tm7 Tm 0.644 0.822 0.500
Tm8 Tm 0.822 0.178 0.500
Tm9 Tm 0.822 0.644 0.500
# Total magnetization ... 0.00 μB per formula unit
# Calculated volume ... 369 Å³ per cell

*x*
# SmHo2Tm9 (PBE-GGA, optimized geometry)
data_SmHo2Tm9
_chemical_formula_sum 'Sm1 Ho2 Tm9'
_cell_length_a 4.956
_cell_length_b 4.956
_cell_length_c 14.866
_cell_angle_alpha 90.00
_cell_angle_beta 90.00
_cell_angle_gamma 90.00
_symmetry_space_group_name_H-M 'P 1'
_symmetry_Int_Tables_number 1
loop_
_symmetry_equiv_pos_as_xyz
'x,y,z'
loop_
_atom_site_label
_atom_site_type_symbol
_atom_site_fract_x
_atom_site_fract_y
_atom_site_fract_z
Sm1 Sm 0.000 0.000 0.000
Ho1 Ho 0.000 0.000 0.334
Ho2 Ho 0.000 0.000 0.666
Tm1 Tm 0.000 0.500 0.168
Tm2 Tm 0.000 0.500 0.500
Tm3 Tm 0.000 0.500 0.832
Tm4 Tm 0.500 0.000 0.168
Tm5 Tm 0.500 0.000 0.500
Tm6 Tm 0.500 0.000 0.832
Tm7 Tm 0.500 0.500 0.000
Tm8 Tm 0.500 0.500 0.334
Tm9 Tm 0.500 0.500 0.666
# Total magnetization ... 0.00 μB per formula unit
# Calculated volume ... 365 Å³ per cell

Name the least stable of them. *w*.

*w*
# Sm4Ho2Tm3 (PBE-GGA, optimized geometry)
data_Sm4Ho2Tm3
_chemical_formula_sum 'Sm8 Ho4 Tm6'
_cell_length_a 9.730
_cell_length_b 9.730
_cell_length_c 6.983
_cell_angle_alpha 90.08
_cell_angle_beta 90.08
_cell_angle_gamma 60.02
_symmetry_space_group_name_H-M 'P 1'
_symmetry_Int_Tables_number 1
loop_
_symmetry_equiv_pos_as_xyz
'x,y,z'
loop_
_atom_site_label
_atom_site_type_symbol
_atom_site_fract_x
_atom_site_fract_y
_atom_site_fract_z
Sm1 Sm 0.149 0.818 0.000
Sm2 Sm 0.180 0.471 0.002
Sm3 Sm 0.182 0.851 0.500
Sm4 Sm 0.471 0.180 0.502
Sm5 Sm 0.529 0.820 0.498
Sm6 Sm 0.818 0.149 0.500
Sm7 Sm 0.820 0.529 0.998
Sm8 Sm 0.851 0.182 0.000
Ho1 Ho 0.150 0.530 0.502
Ho2 Ho 0.470 0.850 0.998
Ho3 Ho 0.530 0.150 0.002
Ho4 Ho 0.850 0.470 0.498
Tm1 Tm 0.169 0.170 0.749
Tm2 Tm 0.170 0.169 0.249
Tm3 Tm 0.498 0.502 0.250
Tm4 Tm 0.502 0.498 0.750
Tm5 Tm 0.830 0.831 0.751
Tm6 Tm 0.831 0.830 0.251
# Total magnetization ... 0.00 μB per formula unit
# Calculated volume ... 573 Å³ per cell

*x*
# Sm4Ho2Tm3 (PBE-GGA, optimized geometry)
data_Sm4Ho2Tm3
_chemical_formula_sum 'Sm8 Ho4 Tm6'
_cell_length_a 10.184
_cell_length_b 10.184
_cell_length_c 5.933
_cell_angle_alpha 96.07
_cell_angle_beta 96.07
_cell_angle_gamma 69.75
_symmetry_space_group_name_H-M 'P 1'
_symmetry_Int_Tables_number 1
loop_
_symmetry_equiv_pos_as_xyz
'x,y,z'
loop_
_atom_site_label
_atom_site_type_symbol
_atom_site_fract_x
_atom_site_fract_y
_atom_site_fract_z
Sm1 Sm 0.046 0.826 0.955
Sm2 Sm 0.163 0.381 0.118
Sm3 Sm 0.174 0.954 0.545
Sm4 Sm 0.381 0.163 0.618
Sm5 Sm 0.619 0.837 0.382
Sm6 Sm 0.826 0.046 0.455
Sm7 Sm 0.837 0.619 0.882
Sm8 Sm 0.954 0.174 0.045
Ho1 Ho 0.292 0.503 0.707
Ho2 Ho 0.497 0.708 0.793
Ho3 Ho 0.503 0.292 0.207
Ho4 Ho 0.708 0.497 0.293
Tm1 Tm 0.016 0.320 0.581
Tm2 Tm 0.320 0.016 0.081
Tm3 Tm 0.349 0.651 0.250
Tm4 Tm 0.651 0.349 0.750
Tm5 Tm 0.680 0.984 0.919
Tm6 Tm 0.984 0.680 0.419
# Total magnetization ... 0.00 μB per formula unit
# Calculated volume ... 573 Å³ per cell

Name the least stable of them. *x*.